(1)
Below is an optimized crystal structure of TlAg5Te3, with properties calculated at the GGA-PBE level.

a = 7.951 Å, b = 7.951 Å, c = 13.608 Å
α = 90.00°, β = 90.00°, γ = 146.87°
Element x y z (fractional)
Tl (0.199, 0.801, 0.750)
Tl (0.801, 0.199, 0.250)
Ag (0.000, 0.000, 0.000)
Ag (0.000, 0.000, 0.500)
Ag (0.188, 0.812, 0.045)
Ag (0.188, 0.812, 0.455)
Ag (0.436, 0.564, 0.636)
Ag (0.436, 0.564, 0.864)
Ag (0.564, 0.436, 0.136)
Ag (0.564, 0.436, 0.364)
Ag (0.812, 0.188, 0.545)
Ag (0.812, 0.188, 0.955)
Te (0.124, 0.876, 0.250)
Te (0.378, 0.622, 0.073)
Te (0.378, 0.622, 0.427)
Te (0.622, 0.378, 0.573)
Te (0.622, 0.378, 0.927)
Te (0.876, 0.124, 0.750)

- Mass density: 7.96 Mg/m³
- Space group: Cmcm (63)
- Formation energy from raw total energies: -0.091 eV/atom

(2)
Below is an optimized crystal structure of Tl3AgTe3, with properties calculated at the GGA-PBE level.

a = 8.142 Å, b = 8.142 Å, c = 15.650 Å
α = 112.92°, β = 112.92°, γ = 30.74°
Element x y z (fractional)
Tl (0.067, 0.067, 0.209)
Tl (0.249, 0.249, 0.102)
Tl (0.398, 0.398, 0.394)
Tl (0.602, 0.602, 0.606)
Tl (0.751, 0.751, 0.898)
Tl (0.933, 0.933, 0.791)
Ag (0.286, 0.286, 0.573)
Ag (0.714, 0.714, 0.427)
Te (0.096, 0.096, 0.429)
Te (0.258, 0.258, 0.746)
Te (0.428, 0.428, 0.030)
Te (0.572, 0.572, 0.970)
Te (0.742, 0.742, 0.254)
Te (0.904, 0.904, 0.571)

- Mass density: 7.56 Mg/m³
- Space group: C2/m (12)
- Formation energy from raw total energies: -0.174 eV/atom